# Ho2NiOs PBE-GGA optimized geometry
# E_form   1.76 eV/f.u.
data_Ho2NiOs
_chemical_formula_sum 'Ho6 Ni3 Os3'
_symmetry_space_group_name_H-M 'R -3 m'
_symmetry_Int_Tables_number 166
_symmetry_space_group_name_Hall '-R 3 2"'
_cell_length_a 3.2709
_cell_length_b 3.2709
_cell_length_c 27.6818
_cell_angle_alpha 90.00
_cell_angle_beta 90.00
_cell_angle_gamma 120.00
loop_
_atom_site_label
_atom_site_fract_x
_atom_site_fract_y
_atom_site_fract_z
_atom_site_occupancy
Ho1 0.0000 0.0000 0.0915 1
Ni1 0.0000 0.0000 0.0000 1
Os1 0.0000 0.0000 0.5000 1

---

# Ho8Ni2Os PBE-GGA optimized geometry
# E_form   -1.59 eV/f.u.
# Relative energy among the computed polymorphs   88.5 meV/atom
data_Ho8Ni2Os
_chemical_formula_sum 'Ho16 Ni4 Os2'
_symmetry_space_group_name_H-M 'C 1 m 1'
_symmetry_Int_Tables_number 8
_symmetry_space_group_name_Hall 'C -2y'
_cell_length_a 8.1293
_cell_length_b 12.4835
_cell_length_c 5.8753
_cell_angle_alpha 90.00
_cell_angle_beta 108.62
_cell_angle_gamma 90.00
loop_
_atom_site_label
_atom_site_fract_x
_atom_site_fract_y
_atom_site_fract_z
_atom_site_occupancy
Ho1 0.0000 0.0000 0.0000 1
Ho2 0.0648 0.3715 0.7604 1
Ho3 0.1521 0.1279 0.5709 1
Ho4 0.2153 0.5000 0.3527 1
Ho5 0.3558 0.2145 0.1747 1
Ni1 0.3604 0.3086 0.6755 1
Os1 0.3563 0.0000 0.3283 1

---

# Ho5Ni2Os PBE-GGA optimized geometry
# E_form   -2.81 eV/f.u.
data_Ho5Ni2Os
_chemical_formula_sum 'Ho20 Ni8 Os4'
_symmetry_space_group_name_H-M 'I 4/m c m'
_symmetry_Int_Tables_number 140
_symmetry_space_group_name_Hall '-I 4 2c'
_cell_length_a 7.0229
_cell_length_b 7.0229
_cell_length_c 14.4924
_cell_angle_alpha 90.00
_cell_angle_beta 90.00
_cell_angle_gamma 90.00
loop_
_atom_site_label
_atom_site_fract_x
_atom_site_fract_y
_atom_site_fract_z
_atom_site_occupancy
Ho1 0.0000 0.0000 0.0000 1
Ho2 0.1762 0.3238 0.1472 1
Ni1 0.1179 0.3821 0.5000 1
Os1 0.0000 0.0000 0.2500 1

---

# Ho2NiOs PBE-GGA optimized geometry
# E_form   -1.28 eV/f.u.
data_Ho2NiOs
_chemical_formula_sum 'Ho2 Ni1 Os1'
_symmetry_space_group_name_H-M 'P 4/m m m'
_symmetry_Int_Tables_number 123
_symmetry_space_group_name_Hall '-P 4 2'
_cell_length_a 3.3899
_cell_length_b 3.3899
_cell_length_c 6.7343
_cell_angle_alpha 90.00
_cell_angle_beta 90.00
_cell_angle_gamma 90.00
loop_
_atom_site_label
_atom_site_fract_x
_atom_site_fract_y
_atom_site_fract_z
_atom_site_occupancy
Ho1 0.0000 0.0000 0.2477 1
Ni1 0.5000 0.5000 0.5000 1
Os1 0.5000 0.5000 0.0000 1

---

# Ho6NiOs2 PBE-GGA optimized geometry
# E_form   -2.21 eV/f.u.
data_Ho6NiOs2
_chemical_formula_sum 'Ho12 Ni2 Os4'
_symmetry_space_group_name_H-M 'P 1 21/c 1'
_symmetry_Int_Tables_number 14
_symmetry_space_group_name_Hall '-P 2ybc'
_cell_length_a 6.4794
_cell_length_b 7.4144
_cell_length_c 11.1160
_cell_angle_alpha 90.00
_cell_angle_beta 123.87
_cell_angle_gamma 90.00
loop_
_atom_site_label
_atom_site_fract_x
_atom_site_fract_y
_atom_site_fract_z
_atom_site_occupancy
Ho1 0.0877 0.0461 0.2413 1
Ho2 0.2227 0.6723 0.0667 1
Ho3 0.4006 0.1739 0.0663 1
Ni1 0.5000 0.0000 0.5000 1
Os1 0.2974 0.1203 0.7578 1

---

# PrHoNiOs PBE-GGA optimized geometry
# E_form   -0.57 eV/f.u.
data_PrHoNiOs
_chemical_formula_sum 'Pr4 Ho4 Ni4 Os4'
_symmetry_space_group_name_H-M 'F -4 3 m'
_symmetry_Int_Tables_number 216
_symmetry_space_group_name_Hall 'F -4 2 3'
_cell_length_a 6.9244
_cell_length_b 6.9244
_cell_length_c 6.9244
_cell_angle_alpha 90.00
_cell_angle_beta 90.00
_cell_angle_gamma 90.00
loop_
_atom_site_label
_atom_site_fract_x
_atom_site_fract_y
_atom_site_fract_z
_atom_site_occupancy
Pr1 0.0000 0.0000 0.0000 1
Ho1 0.0000 0.0000 0.5000 1
Ni1 0.2500 0.2500 0.2500 1
Os1 0.2500 0.2500 0.7500 1

---

# HoPuNiOs PBE-GGA optimized geometry
# E_form   -0.60 eV/f.u.
data_HoPuNiOs
_chemical_formula_sum 'Ho4 Pu4 Ni4 Os4'
_symmetry_space_group_name_H-M 'F -4 3 m'
_symmetry_Int_Tables_number 216
_symmetry_space_group_name_Hall 'F -4 2 3'
_cell_length_a 6.7529
_cell_length_b 6.7529
_cell_length_c 6.7529
_cell_angle_alpha 90.00
_cell_angle_beta 90.00
_cell_angle_gamma 90.00
loop_
_atom_site_label
_atom_site_fract_x
_atom_site_fract_y
_atom_site_fract_z
_atom_site_occupancy
Ho1 0.0000 0.0000 0.0000 1
Pu1 0.0000 0.0000 0.5000 1
Ni1 0.2500 0.2500 0.7500 1
Os1 0.2500 0.2500 0.2500 1

---

# HoSi2Ni2Os PBE-GGA optimized geometry
# E_form (uncorrected)   0.037 eV per atom
data_HoSi2Ni2Os
_chemical_formula_sum 'Ho1 Si2 Ni2 Os1'
_symmetry_space_group_name_H-M 'P 4/m m m'
_symmetry_Int_Tables_number 123
_symmetry_space_group_name_Hall '-P 4 2'
_cell_length_a 4.4990
_cell_length_b 4.4990
_cell_length_c 5.3406
_cell_angle_alpha 90.00
_cell_angle_beta 90.00
_cell_angle_gamma 90.00
loop_
_atom_site_label
_atom_site_fract_x
_atom_site_fract_y
_atom_site_fract_z
_atom_site_occupancy
Ho1 0.0000 0.0000 0.0000 1
Si1 0.0000 0.5000 0.5000 1
Ni1 0.5000 0.5000 0.2519 1
Os1 0.0000 0.0000 0.5000 1

---

# Ho2Si4Ni3Os PBE-GGA optimized geometry
# E_form (uncorrected)   -0.829 eV per atom
data_Ho2Si4Ni3Os
_chemical_formula_sum 'Ho2 Si4 Ni3 Os1'
_symmetry_space_group_name_H-M 'P -4 m 2'
_symmetry_Int_Tables_number 115
_symmetry_space_group_name_Hall 'P -4 -2'
_cell_length_a 3.9679
_cell_length_b 3.9679
_cell_length_c 9.6693
_cell_angle_alpha 90.00
_cell_angle_beta 90.00
_cell_angle_gamma 90.00
loop_
_atom_site_label
_atom_site_fract_x
_atom_site_fract_y
_atom_site_fract_z
_atom_site_occupancy
Ho1 0.0000 0.5000 0.2409 1
Si1 0.0000 0.0000 0.0000 1
Si2 0.0000 0.5000 0.6365 1
Si3 0.5000 0.5000 0.0000 1
Ni1 0.0000 0.5000 0.8754 1
Ni2 0.5000 0.5000 0.5000 1
Os1 0.0000 0.0000 0.5000 1

---

# HoSi3NiOs PBE-GGA optimized geometry
# E_form (uncorrected)   -0.361 eV per atom
data_HoSi3NiOs
_chemical_formula_sum 'Ho4 Si12 Ni4 Os4'
_symmetry_space_group_name_H-M 'C m c m'
_symmetry_Int_Tables_number 63
_symmetry_space_group_name_Hall '-C 2c 2'
_cell_length_a 5.6624
_cell_length_b 10.9735
_cell_length_c 6.4641
_cell_angle_alpha 90.00
_cell_angle_beta 90.00
_cell_angle_gamma 90.00
loop_
_atom_site_label
_atom_site_fract_x
_atom_site_fract_y
_atom_site_fract_z
_atom_site_occupancy
Ho1 0.0000 0.2155 0.2500 1
Si1 0.0000 0.3290 0.7500 1
Si2 0.2228 0.0000 0.0000 1
Ni1 0.0000 0.4669 0.2500 1
Os1 0.0000 0.1152 0.7500 1

---

# HoSi2NiOs PBE-GGA optimized geometry
# E_form (uncorrected)   -0.778 eV per atom
data_HoSi2NiOs
_chemical_formula_sum 'Ho2 Si4 Ni2 Os2'
_symmetry_space_group_name_H-M 'I -4 m 2'
_symmetry_Int_Tables_number 119
_symmetry_space_group_name_Hall 'I -4 -2'
_cell_length_a 3.9740
_cell_length_b 3.9740
_cell_length_c 10.0171
_cell_angle_alpha 90.00
_cell_angle_beta 90.00
_cell_angle_gamma 90.00
loop_
_atom_site_label
_atom_site_fract_x
_atom_site_fract_y
_atom_site_fract_z
_atom_site_occupancy
Ho1 0.0000 0.0000 0.0000 1
Si1 0.0000 0.0000 0.3776 1
Ni1 0.0000 0.5000 0.7500 1
Os1 0.0000 0.5000 0.2500 1

---

# TbHoNiOs PBE-GGA optimized geometry
# E_form   -1.18 eV/f.u.
data_TbHoNiOs
_chemical_formula_sum 'Tb4 Ho4 Ni4 Os4'
_symmetry_space_group_name_H-M 'F -4 3 m'
_symmetry_Int_Tables_number 216
_symmetry_space_group_name_Hall 'F -4 2 3'
_cell_length_a 6.7901
_cell_length_b 6.7901
_cell_length_c 6.7901
_cell_angle_alpha 90.00
_cell_angle_beta 90.00
_cell_angle_gamma 90.00
loop_
_atom_site_label
_atom_site_fract_x
_atom_site_fract_y
_atom_site_fract_z
_atom_site_occupancy
Tb1 0.0000 0.0000 0.0000 1
Ho1 0.0000 0.0000 0.5000 1
Ni1 0.2500 0.2500 0.2500 1
Os1 0.2500 0.2500 0.7500 1

---

# HoThNiOs PBE-GGA optimized geometry
# E_form   -1.25 eV/f.u.
data_HoThNiOs
_chemical_formula_sum 'Ho4 Th4 Ni4 Os4'
_symmetry_space_group_name_H-M 'F -4 3 m'
_symmetry_Int_Tables_number 216
_symmetry_space_group_name_Hall 'F -4 2 3'
_cell_length_a 6.9354
_cell_length_b 6.9354
_cell_length_c 6.9354
_cell_angle_alpha 90.00
_cell_angle_beta 90.00
_cell_angle_gamma 90.00
loop_
_atom_site_label
_atom_site_fract_x
_atom_site_fract_y
_atom_site_fract_z
_atom_site_occupancy
Ho1 0.0000 0.0000 0.0000 1
Th1 0.0000 0.0000 0.5000 1
Ni1 0.2500 0.2500 0.7500 1
Os1 0.2500 0.2500 0.2500 1

---

# HoTiNiOs PBE-GGA optimized geometry
# E_form   -1.18 eV/f.u.
data_HoTiNiOs
_chemical_formula_sum 'Ho4 Ti4 Ni4 Os4'
_symmetry_space_group_name_H-M 'F -4 3 m'
_symmetry_Int_Tables_number 216
_symmetry_space_group_name_Hall 'F -4 2 3'
_cell_length_a 6.4442
_cell_length_b 6.4442
_cell_length_c 6.4442
_cell_angle_alpha 90.00
_cell_angle_beta 90.00
_cell_angle_gamma 90.00
loop_
_atom_site_label
_atom_site_fract_x
_atom_site_fract_y
_atom_site_fract_z
_atom_site_occupancy
Ho1 0.0000 0.0000 0.0000 1
Ti1 0.0000 0.0000 0.5000 1
Ni1 0.2500 0.2500 0.7500 1
Os1 0.2500 0.2500 0.2500 1

---

# HoUNiOs PBE-GGA optimized geometry
# E_form   -0.45 eV/f.u.
data_HoUNiOs
_chemical_formula_sum 'Ho4 U4 Ni4 Os4'
_symmetry_space_group_name_H-M 'F -4 3 m'
_symmetry_Int_Tables_number 216
_symmetry_space_group_name_Hall 'F -4 2 3'
_cell_length_a 6.7462
_cell_length_b 6.7462
_cell_length_c 6.7462
_cell_angle_alpha 90.00
_cell_angle_beta 90.00
_cell_angle_gamma 90.00
loop_
_atom_site_label
_atom_site_fract_x
_atom_site_fract_y
_atom_site_fract_z
_atom_site_occupancy
Ho1 0.0000 0.0000 0.0000 1
U1 0.0000 0.0000 0.5000 1
Ni1 0.2500 0.2500 0.7500 1
Os1 0.2500 0.2500 0.2500 1

---

# HoZrNiOs PBE-GGA optimized geometry
# E_form   -1.49 eV/f.u.
data_HoZrNiOs
_chemical_formula_sum 'Ho4 Zr4 Ni4 Os4'
_symmetry_space_group_name_H-M 'F -4 3 m'
_symmetry_Int_Tables_number 216
_symmetry_space_group_name_Hall 'F -4 2 3'
_cell_length_a 6.6365
_cell_length_b 6.6365
_cell_length_c 6.6365
_cell_angle_alpha 90.00
_cell_angle_beta 90.00
_cell_angle_gamma 90.00
loop_
_atom_site_label
_atom_site_fract_x
_atom_site_fract_y
_atom_site_fract_z
_atom_site_occupancy
Ho1 0.0000 0.0000 0.0000 1
Zr1 0.0000 0.0000 0.5000 1
Ni1 0.2500 0.2500 0.7500 1
Os1 0.2500 0.2500 0.2500 1

---

# Ho3Ni7P4 PBE-GGA optimized geometry
# E_form   -12.71 eV/f.u.
data_Ho3Ni7P4
_chemical_formula_sum 'Ho6 Ni14 P8'
_symmetry_space_group_name_H-M 'C 1 2/m 1'
_symmetry_Int_Tables_number 12
_symmetry_space_group_name_Hall '-C 2y'
_cell_length_a 14.5047
_cell_length_b 3.7907
_cell_length_c 8.8492
_cell_angle_alpha 90.00
_cell_angle_beta 126.24
_cell_angle_gamma 90.00
loop_
_atom_site_label
_atom_site_fract_x
_atom_site_fract_y
_atom_site_fract_z
_atom_site_occupancy
Ho1 0.0000 0.0000 0.0000 1
Ho2 0.1792 0.5000 0.6754 1
Ni1 0.0000 0.0000 0.5000 1
Ni2 0.0075 0.5000 0.2823 1
Ni3 0.1626 0.0000 0.4184 1
Ni4 0.1911 0.5000 0.0251 1
P1 0.1094 0.0000 0.8246 1
P2 0.1616 0.5000 0.2717 1

---

# Ho2NiP2 PBE-GGA optimized geometry
# E_form   -6.11 eV/f.u.
data_Ho2NiP2
_chemical_formula_sum 'Ho8 Ni4 P8'
_symmetry_space_group_name_H-M 'C 1 2/m 1'
_symmetry_Int_Tables_number 12
_symmetry_space_group_name_Hall '-C 2y'
_cell_length_a 10.3402
_cell_length_b 3.8688
_cell_length_c 9.8753
_cell_angle_alpha 90.00
_cell_angle_beta 112.12
_cell_angle_gamma 90.00
loop_
_atom_site_label
_atom_site_fract_x
_atom_site_fract_y
_atom_site_fract_z
_atom_site_occupancy
Ho1 0.0925 0.0000 0.4003 1
Ho2 0.1966 0.5000 0.1422 1
Ni1 0.0704 0.5000 0.8194 1
P1 0.0445 0.0000 0.9086 1
P2 0.1527 0.5000 0.6371 1

---

# HoNi4P2 PBE-GGA optimized geometry
# E_form   -5.85 eV/f.u.
data_HoNi4P2
_chemical_formula_sum 'Ho2 Ni8 P4'
_symmetry_space_group_name_H-M 'P 42/m n m'
_symmetry_Int_Tables_number 136
_symmetry_space_group_name_Hall '-P 4n 2n'
_cell_length_a 7.0854
_cell_length_b 7.0854
_cell_length_c 3.6004
_cell_angle_alpha 90.00
_cell_angle_beta 90.00
_cell_angle_gamma 90.00
loop_
_atom_site_label
_atom_site_fract_x
_atom_site_fract_y
_atom_site_fract_z
_atom_site_occupancy
Ho1 0.0000 0.0000 0.0000 1
Ni1 0.0844 0.3357 0.5000 1
P1 0.2205 0.7795 0.5000 1

---

# HoNi3P2 PBE-GGA optimized geometry
# E_form   -5.60 eV/f.u.
# Relative energy among the computed polymorphs   0.0 meV/atom
data_HoNi3P2
_chemical_formula_sum 'Ho6 Ni18 P12'
_symmetry_space_group_name_H-M 'C 1 2/m 1'
_symmetry_Int_Tables_number 12
_symmetry_space_group_name_Hall '-C 2y'
_cell_length_a 14.9824
_cell_length_b 3.7098
_cell_length_c 9.1203
_cell_angle_alpha 90.00
_cell_angle_beta 106.93
_cell_angle_gamma 90.00
loop_
_atom_site_label
_atom_site_fract_x
_atom_site_fract_y
_atom_site_fract_z
_atom_site_occupancy
Ho1 0.0000 0.0000 0.0000 1
Ho2 0.1535 0.0000 0.7001 1
Ni1 0.0000 0.5000 0.5000 1
Ni2 0.0461 0.0000 0.3392 1
Ni3 0.1288 0.5000 0.2078 1
Ni4 0.1762 0.5000 0.9679 1
Ni5 0.2193 0.0000 0.3930 1
P1 0.0328 0.5000 0.7825 1
P2 0.1389 0.5000 0.4536 1
P3 0.2005 0.0000 0.1316 1